# 1
## Ho2TmAlCd3Ga2 (GGA-PBE)

Data for a relaxed Ho2TmAlCd3Ga2 crystal.

Space group: Amm2 (38)

a = 4.404 Å, b = 7.215 Å, c = 7.215 Å
α = 119.87°, β = 90.00°, γ = 90.00°
Fractional coordinates of all 9 atoms:
Ho  0.000  0.000  0.566
Cd  0.500  0.000  0.247
Ga  0.500  0.334  0.666
Ga  0.500  0.666  0.334
Tm  0.000  0.434  0.434
Al  0.000  0.001  0.001
Cd  0.500  0.247  0.000
Ho  0.000  0.566  0.000
Cd  0.500  0.753  0.753

***

# 2
## BaNbNO (GGA-PBE)

Data for a relaxed BaNbNO crystal.

Distance to the lowest polymorph of the same formula in meV/atom: 0.0
Space group: Pmma (51)

a = 4.032 Å, b = 6.071 Å, c = 6.032 Å
α = 90.00°, β = 90.00°, γ = 90.00°
Fractional coordinates of all 8 atoms:
Nb  0.000  0.001  0.709
Ba  0.500  0.001  0.233
N  0.000  0.251  0.500
O  0.500  0.501  0.220
O  0.500  0.001  0.780
N  0.000  0.751  0.500
Ba  0.500  0.501  0.767
Nb  0.000  0.501  0.291

***

# 3
## LiBeNiBi (GGA-PBE)

Data for a relaxed LiBeNiBi crystal.

Distance to the lowest polymorph of the same formula in meV/atom: 116.2
Space group: F-43m (216)

a = 4.408 Å, b = 4.408 Å, c = 4.408 Å
α = 60.00°, β = 60.00°, γ = 60.00°
Fractional coordinates of all 4 atoms:
Bi  0.000  0.000  0.000
Ni  0.250  0.250  0.250
Be  0.750  0.750  0.750
Li  0.500  0.500  0.500

***

# 4
## YInCu (GGA-PBE)

Data for a relaxed YInCu crystal.

Space group: P-62m (189)

a = 7.021 Å, b = 7.021 Å, c = 4.570 Å
α = 90.00°, β = 90.00°, γ = 120.00°
Fractional coordinates of all 9 atoms:
Cu  0.000  0.225  0.000
Y  0.000  0.563  0.500
In  0.667  0.333  0.000
In  0.000  0.000  0.500
In  0.333  0.667  0.000
Cu  0.225  0.000  0.000
Cu  0.775  0.775  0.000
Y  0.563  0.000  0.500
Y  0.437  0.437  0.500

***

Energy values, unit eV per atom, following the record order: -3.376; -7.795; -3.604; -4.595.
Density values, unit g/cm3, following the record order: 8.373; 5.854; 7.777; 6.826.